SiTc2As | GGA-PBE | optimized geometry

a b c (Å): 8.8729 8.8729 8.8729
angles (deg): 154.60 154.60 36.23
Element x y z (fractional)
Si 0.0000 0.0000 0.0000
Si 0.7500 0.2500 0.5000
Tc 0.1010 0.6250 0.9760
Tc 0.3750 0.3510 0.4760
Tc 0.6490 0.1250 0.0240
Tc 0.8750 0.8990 0.5240
As 0.2500 0.7500 0.5000
As 0.5000 0.5000 0.0000

Energy relative to the elements, uncorrected: 0.322 eV/atom
Symmetry: I-42d